# SmHo3S4 (PBE, relaxed)
# ΔE to the lowest computed polymorph in meV per atom: 0
data_SmHo3S4
_cell_length_a 7.905
_cell_length_b 11.082
_cell_length_c 3.878
_cell_angle_alpha 90.00
_cell_angle_beta 90.00
_cell_angle_gamma 90.00
_symmetry_space_group_name_H-M 'C m m m'
_symmetry_Int_Tables_number 65
_symmetry_space_group_name_Hall '-C 2 2'
loop_
_atom_site_label
_atom_site_fract_x
_atom_site_fract_y
_atom_site_fract_z
Sm1 0.000 0.000 0.000
Ho1 0.000 0.500 0.000
Ho2 0.250 0.250 0.500
S1 0.000 0.254 0.000
S2 0.242 0.500 0.500

---

# SmHo4S6 (PBE, relaxed)
# Raw total energy in eV/f.u.: -70.22
data_SmHo4S6
_cell_length_a 3.842
_cell_length_b 12.808
_cell_length_c 19.796
_cell_angle_alpha 90.00
_cell_angle_beta 90.00
_cell_angle_gamma 90.00
_symmetry_space_group_name_H-M 'C m c m'
_symmetry_Int_Tables_number 63
_symmetry_space_group_name_Hall '-C 2c 2'
loop_
_atom_site_label
_atom_site_fract_x
_atom_site_fract_y
_atom_site_fract_z
Sm1 0.000 0.153 0.250
Ho1 0.000 0.092 0.627
Ho2 0.000 0.361 0.540
S1 0.000 0.000 0.000
S2 0.000 0.188 0.750
S3 0.000 0.269 0.089
S4 0.000 0.452 0.666

---

# SmHo2S (PBE, relaxed)
# ΔE to the lowest computed polymorph in meV per atom: 206
data_SmHo2S
_cell_length_a 3.6416
_cell_length_b 3.6416
_cell_length_c 30.3294
_cell_angle_alpha 90.00
_cell_angle_beta 90.00
_cell_angle_gamma 120.00
_symmetry_space_group_name_H-M 'R -3 m'
_symmetry_Int_Tables_number 166
_symmetry_space_group_name_Hall '-R 3 2"'
loop_
_atom_site_label
_atom_site_fract_x
_atom_site_fract_y
_atom_site_fract_z
Sm1 0.0000 0.0000 0.0000
Ho1 0.0000 0.0000 0.1126
S1 0.0000 0.0000 0.5000